A plane-wave DFT calculation with GGA-PBE was carried out for crystalline SrSbTeI2 at its relaxed geometry.

## Properties
Raw formation energy   -0.0304 eV per atom
Calculated total energy   -0.0897 Ha/atom
Total magnetization   0.167 μB/cell
Theoretical density   3.77 Mg/m³
SG   P4/mmm (123)
D(E_F)   2.90 states/eV/f.u.
Excess energy over the best structure of this formula in the dataset   464 meV/atom

a b c (Å): 6.1387 6.1387 6.9126
angles (deg): 90.00 90.00 90.00
Atoms (fractional coordinates):
Sr  0.0000  0.0000  0.0000
Sb  0.0000  0.0000  0.5000
Te  0.5000  0.5000  0.5000
I  0.0000  0.5000  0.0000
I  0.5000  0.0000  0.0000

---

A plane-wave DFT calculation with GGA-PBE was carried out for crystalline Ni2AsBr2 at its relaxed geometry.

## Properties
Raw formation energy   0.4733 eV per atom
Calculated total energy   -0.1264 Ha/atom
Total magnetization   0.000 μB/cell
Theoretical density   6.75 Mg/m³
SG   P4/mbm (127)
D(E_F)   2.52 states/eV/f.u.
Excess energy over the best structure of this formula in the dataset   0 meV/atom

a b c (Å): 7.1043 7.1043 3.4306
angles (deg): 90.00 90.00 90.00
Atoms (fractional coordinates):
Ni  0.1531  0.3469  0.0000
Ni  0.3469  0.8469  0.0000
Ni  0.6531  0.1531  0.0000
Ni  0.8469  0.6531  0.0000
As  0.0000  0.0000  0.0000
As  0.5000  0.5000  0.0000
Br  0.1591  0.6591  0.5000
Br  0.3409  0.1591  0.5000
Br  0.6591  0.8409  0.5000
Br  0.8409  0.3409  0.5000

---

A plane-wave DFT calculation with GGA-PBE was carried out for crystalline AlHgRh at its relaxed geometry.

## Properties
Calculated total energy   -0.1485 Ha/atom
Total magnetization   0.000 μB/cell
Theoretical density   10.77 Mg/m³
SG   P-6m2 (187)
D(E_F)   0.89 states/eV/f.u.
Excess energy over the best structure of this formula in the dataset   97 meV/atom
E_form   -0.73 eV per formula unit

a b c (Å): 4.2694 4.2694 3.2267
angles (deg): 90.00 90.00 120.00
Atoms (fractional coordinates):
Al  0.0000  0.0000  0.0000
Hg  0.6667  0.3333  0.5000
Rh  0.3333  0.6667  0.0000

---

A plane-wave DFT calculation with GGA-PBE was carried out for crystalline RbLiCa2Rh at its relaxed geometry.

## Properties
Calculated total energy   -0.1051 Ha/atom
Total magnetization   0.000 μB/cell
Theoretical density   2.67 Mg/m³
SG   P4/mmm (123)
D(E_F)   2.27 states/eV/f.u.
E_form   -0.06 eV per formula unit

a b c (Å): 5.5555 5.5555 5.5455
angles (deg): 90.00 90.00 90.00
Atoms (fractional coordinates):
Rb  0.0000  0.0000  0.0000
Li  0.5000  0.5000  0.0000
Ca  0.0000  0.5000  0.5000
Ca  0.5000  0.0000  0.5000
Rh  0.5000  0.5000  0.5000

---

A plane-wave DFT calculation with GGA-PBE was carried out for crystalline CeHfZn2 at its relaxed geometry.

## Properties
Calculated total energy   -0.1761 Ha/atom
Total magnetization   0.004 μB/cell
Theoretical density   9.38 Mg/m³
SG   P4/mmm (123)
D(E_F)   6.13 states/eV/f.u.
E_form   -0.73 eV per formula unit

a b c (Å): 3.1028 3.1028 8.2649
angles (deg): 90.00 90.00 90.00
Atoms (fractional coordinates):
Ce  0.0000  0.0000  0.0000
Hf  0.0000  0.0000  0.5000
Zn  0.5000  0.5000  0.2733
Zn  0.5000  0.5000  0.7267

---

A plane-wave DFT calculation with GGA-PBE was carried out for crystalline ZnHgBr2 at its relaxed geometry.

## Properties
Raw formation energy   -0.6269 eV per atom
Calculated total energy   -0.0683 Ha/atom
Total magnetization   0.000 μB/cell
Theoretical density   4.48 Mg/m³
SG   P1 (1)
D(E_F)   0.00 states/eV/f.u.
Excess energy over the best structure of this formula in the dataset   0 meV/atom

a b c (Å): 6.4076 6.7872 8.2448
angles (deg): 88.06 89.74 61.83
Atoms (fractional coordinates):
Zn  0.0000  0.0000  0.0000
Zn  0.4967  0.0005  0.9996
Hg  0.5706  0.3601  0.4821
Hg  0.9332  0.6350  0.5213
Br  0.2381  0.0185  0.2254
Br  0.2589  0.9814  0.7743
Br  0.5942  0.3092  0.9757
Br  0.9024  0.6914  0.0252

---

A plane-wave DFT calculation with GGA-PBE was carried out for crystalline TlMoC2 at its relaxed geometry.

## Properties
Calculated total energy   -0.2070 Ha/atom
Total magnetization   2.980 μB/cell
Theoretical density   10.74 Mg/m³
SG   Fm-3m (225)
D(E_F)   3.72 states/eV/f.u.
Excess energy over the best structure of this formula in the dataset   1240 meV/atom
E_form   9.11 eV per formula unit

a b c (Å): 5.8543 5.8543 5.8543
angles (deg): 90.00 90.00 90.00
Atoms (fractional coordinates):
Tl  0.0000  0.0000  0.0000
Tl  0.0000  0.5000  0.5000
Tl  0.5000  0.0000  0.5000
Tl  0.5000  0.5000  0.0000
Mo  0.0000  0.0000  0.5000
Mo  0.0000  0.5000  0.0000
Mo  0.5000  0.0000  0.0000
Mo  0.5000  0.5000  0.5000
C  0.2500  0.2500  0.2500
C  0.2500  0.2500  0.7500
C  0.2500  0.7500  0.2500
C  0.2500  0.7500  0.7500
C  0.7500  0.2500  0.2500
C  0.7500  0.2500  0.7500
C  0.7500  0.7500  0.2500
C  0.7500  0.7500  0.7500

---

A plane-wave DFT calculation with GGA-PBE was carried out for crystalline NaSi3Pt4 at its relaxed geometry.

## Properties
Raw formation energy   -0.6816 eV per atom
Calculated total energy   -0.2168 Ha/atom
Total magnetization   0.000 μB/cell
Theoretical density   11.20 Mg/m³
SG   P4/mmm (123)
D(E_F)   1.91 states/eV/f.u.

a b c (Å): 4.0490 4.0490 8.0251
angles (deg): 90.00 90.00 90.00
Atoms (fractional coordinates):
Na  0.0000  0.0000  0.0000
Si  0.0000  0.0000  0.5000
Si  0.5000  0.5000  0.1469
Si  0.5000  0.5000  0.8531
Pt  0.0000  0.5000  0.3145
Pt  0.0000  0.5000  0.6855
Pt  0.5000  0.0000  0.3145
Pt  0.5000  0.0000  0.6855

---

A plane-wave DFT calculation with GGA-PBE was carried out for crystalline ZnInAg4 at its relaxed geometry.

## Properties
Calculated total energy   -0.0943 Ha/atom
Total magnetization   0.000 μB/cell
Theoretical density   9.19 Mg/m³
SG   C2/c (15)
D(E_F)   1.36 states/eV/f.u.
Excess energy over the best structure of this formula in the dataset   14 meV/atom
E_form   0.02 eV per formula unit

a b c (Å): 9.5127 9.5127 4.8305
angles (deg): 104.53 104.53 31.59
Atoms (fractional coordinates):
Zn  0.0000  0.5000  0.0000
Zn  0.5000  0.0000  0.5000
In  0.1885  0.8115  0.7500
In  0.8115  0.1885  0.2500
Ag  0.0185  0.6403  0.5794
Ag  0.2355  0.5864  0.1606
Ag  0.3597  0.9815  0.9206
Ag  0.4136  0.7645  0.3394
Ag  0.5864  0.2355  0.6606
Ag  0.6403  0.0185  0.0794
Ag  0.7645  0.4136  0.8394
Ag  0.9815  0.3597  0.4206

---

A plane-wave DFT calculation with GGA-PBE was carried out for crystalline Hf2TaMnN at its relaxed geometry.

## Properties
Raw formation energy   0.5872 eV per atom
Calculated total energy   -0.3404 Ha/atom
Total magnetization   0.000 μB/cell
Theoretical density   11.40 Mg/m³
SG   P4/mmm (123)
D(E_F)   6.42 states/eV/f.u.

a b c (Å): 5.0398 5.0398 3.4794
angles (deg): 90.00 90.00 90.00
Atoms (fractional coordinates):
Hf  0.0000  0.5000  0.0000
Hf  0.5000  0.0000  0.0000
Ta  0.0000  0.0000  0.5000
Mn  0.5000  0.5000  0.0000
N  0.5000  0.5000  0.5000

---

A plane-wave DFT calculation with GGA-PBE was carried out for crystalline AgAsSe2 at its relaxed geometry.

## Properties
Raw formation energy   0.2677 eV per atom
Calculated total energy   -0.1231 Ha/atom
Total magnetization   0.909 μB/cell
Theoretical density   5.31 Mg/m³
SG   I-4m2 (119)
D(E_F)   3.30 states/eV/f.u.

a b c (Å): 3.7145 3.7145 15.4425
angles (deg): 90.00 90.00 90.00
Atoms (fractional coordinates):
Ag  0.0000  0.0000  0.0000
Ag  0.5000  0.5000  0.5000
As  0.0000  0.5000  0.7500
As  0.5000  0.0000  0.2500
Se  0.0000  0.0000  0.5000
Se  0.0000  0.5000  0.2500
Se  0.5000  0.0000  0.7500
Se  0.5000  0.5000  0.0000

---

A plane-wave DFT calculation with GGA-PBE was carried out for crystalline Ag3Te4Se8 at its relaxed geometry.

## Properties
Raw formation energy   0.0096 eV per atom
Calculated total energy   -0.1197 Ha/atom
Total magnetization   0.000 μB/cell
Theoretical density   6.24 Mg/m³
SG   C2/m (12)
D(E_F)   7.20 states/eV/f.u.

a b c (Å): 8.1378 8.1378 8.1241
angles (deg): 119.09 119.09 90.26
Atoms (fractional coordinates):
Ag  0.0000  0.0000  0.0000
Ag  0.0000  0.5000  0.0000
Ag  0.5000  0.0000  0.0000
Te  0.0000  0.0000  0.5000
Te  0.0000  0.5000  0.5000
Te  0.5000  0.0000  0.5000
Te  0.5000  0.5000  0.0000
Se  0.2243  0.2243  0.4524
Se  0.2450  0.2450  0.9811
Se  0.2476  0.7524  0.5000
Se  0.2542  0.7458  0.0000
Se  0.7458  0.2542  0.0000
Se  0.7524  0.2476  0.5000
Se  0.7550  0.7550  0.0189
Se  0.7757  0.7757  0.5476

---

A plane-wave DFT calculation with GGA-PBE was carried out for crystalline Ni2PbW at its relaxed geometry.

## Properties
Calculated total energy   -0.2390 Ha/atom
Total magnetization   0.002 μB/cell
Theoretical density   13.67 Mg/m³
SG   Cmmm (65)
D(E_F)   5.80 states/eV/f.u.
E_form   2.21 eV per formula unit

a b c (Å): 5.7309 7.3715 2.9237
angles (deg): 90.00 90.00 90.00
Atoms (fractional coordinates):
Ni  0.2500  0.2500  0.0000
Ni  0.2500  0.7500  0.0000
Ni  0.7500  0.2500  0.0000
Ni  0.7500  0.7500  0.0000
Pb  0.0000  0.0000  0.5000
Pb  0.5000  0.5000  0.5000
W  0.0000  0.5000  0.5000
W  0.5000  0.0000  0.5000

---

A plane-wave DFT calculation with GGA-PBE was carried out for crystalline Sm2HoCdC at its relaxed geometry.

## Properties
Calculated total energy   -0.1864 Ha/atom
Total magnetization   0.000 μB/cell
Theoretical density   7.79 Mg/m³
SG   P4/mmm (123)
D(E_F)   5.93 states/eV/f.u.
E_form   -1.21 eV per formula unit

a b c (Å): 5.0983 5.0983 4.8398
angles (deg): 90.00 90.00 90.00
Atoms (fractional coordinates):
Sm  0.0000  0.5000  0.0000
Sm  0.5000  0.0000  0.0000
Ho  0.0000  0.0000  0.5000
Cd  0.5000  0.5000  0.5000
C  0.0000  0.0000  0.0000

---

A plane-wave DFT calculation with GGA-PBE was carried out for crystalline Tb5Y8Th at its relaxed geometry.

## Properties
Calculated total energy   -0.2055 Ha/atom
Total magnetization   1.281 μB/cell
Theoretical density   6.17 Mg/m³
SG   I-4 (82)
D(E_F)   23.37 states/eV/f.u.
E_form   3.98 eV per formula unit

a b c (Å): 8.4746 8.4746 8.4746
angles (deg): 110.72 110.72 107.00
Atoms (fractional coordinates):
Tb  0.0000  0.0000  0.0000
Tb  0.2069  0.3073  0.6729
Tb  0.4660  0.7931  0.1004
Tb  0.6344  0.5340  0.3271
Tb  0.6927  0.3656  0.8996
Y  0.1639  0.4259  0.0852
Y  0.3407  0.0787  0.9148
Y  0.4147  0.1593  0.3954
Y  0.5741  0.6593  0.7380
Y  0.7638  0.0193  0.6046
Y  0.8407  0.2362  0.2555
Y  0.9213  0.8361  0.2620
Y  0.9807  0.5853  0.7445
Th  0.2500  0.7500  0.5000

---

A plane-wave DFT calculation with GGA-PBE was carried out for crystalline CoAsOs at its relaxed geometry.

## Properties
Calculated total energy   -0.2593 Ha/atom
Total magnetization   6.352 μB/cell
Theoretical density   12.53 Mg/m³
SG   Fmm2 (42)
D(E_F)   4.22 states/eV/f.u.
Excess energy over the best structure of this formula in the dataset   330 meV/atom
E_form   1.82 eV per formula unit

a b c (Å): 2.8037 4.7829 12.8159
angles (deg): 90.00 90.00 90.00
Atoms (fractional coordinates):
Co  0.0000  0.0000  0.0000
Co  0.0000  0.5000  0.5000
Co  0.5000  0.0000  0.5000
Co  0.5000  0.5000  0.0000
As  0.0000  0.0000  0.3392
As  0.0000  0.5000  0.8392
As  0.5000  0.0000  0.8392
As  0.5000  0.5000  0.3392
Os  0.0000  0.0000  0.6593
Os  0.0000  0.5000  0.1593
Os  0.5000  0.0000  0.1593
Os  0.5000  0.5000  0.6593

---

A plane-wave DFT calculation with GGA-PBE was carried out for crystalline LiPrF4 at its relaxed geometry.

## Properties
Raw formation energy   -3.6921 eV per atom
Calculated total energy   -0.2225 Ha/atom
Total magnetization   0.133 μB/cell
Theoretical density   4.47 Mg/m³
SG   Pmmn (59)
D(E_F)   0.00 states/eV/f.u.

a b c (Å): 3.8750 7.2539 5.9212
angles (deg): 90.00 90.00 90.00
Atoms (fractional coordinates):
Li  0.2500  0.2500  0.0679
Li  0.7500  0.7500  0.9321
Pr  0.2500  0.7500  0.4906
Pr  0.7500  0.2500  0.5094
F  0.2500  0.0639  0.3531
F  0.2500  0.2500  0.7495
F  0.2500  0.4361  0.3531
F  0.2500  0.7500  0.8828
F  0.7500  0.2500  0.1172
F  0.7500  0.5639  0.6469
F  0.7500  0.7500  0.2505
F  0.7500  0.9361  0.6469

---

A plane-wave DFT calculation with GGA-PBE was carried out for crystalline FeWC2 at its relaxed geometry.

## Properties
Calculated total energy   -0.3321 Ha/atom
Total magnetization   7.049 μB/cell
Theoretical density   11.98 Mg/m³
SG   Fm-3m (225)
D(E_F)   2.21 states/eV/f.u.
Excess energy over the best structure of this formula in the dataset   358 meV/atom
E_form   3.72 eV per formula unit

a b c (Å): 5.2676 5.2676 5.2676
angles (deg): 90.00 90.00 90.00
Atoms (fractional coordinates):
Fe  0.0000  0.0000  0.0000
Fe  0.0000  0.5000  0.5000
Fe  0.5000  0.0000  0.5000
Fe  0.5000  0.5000  0.0000
W  0.0000  0.0000  0.5000
W  0.0000  0.5000  0.0000
W  0.5000  0.0000  0.0000
W  0.5000  0.5000  0.5000
C  0.2500  0.2500  0.2500
C  0.2500  0.2500  0.7500
C  0.2500  0.7500  0.2500
C  0.2500  0.7500  0.7500
C  0.7500  0.2500  0.2500
C  0.7500  0.2500  0.7500
C  0.7500  0.7500  0.2500
C  0.7500  0.7500  0.7500

---

A plane-wave DFT calculation with GGA-PBE was carried out for crystalline CsTlCd2In at its relaxed geometry.

## Properties
Calculated total energy   -0.0591 Ha/atom
Total magnetization   0.000 μB/cell
Theoretical density   6.55 Mg/m³
SG   Imm2 (44)
D(E_F)   3.48 states/eV/f.u.
Excess energy over the best structure of this formula in the dataset   0 meV/atom
E_form   -0.25 eV per formula unit

a b c (Å): 5.1222 5.1309 13.0533
angles (deg): 90.00 90.00 90.00
Atoms (fractional coordinates):
Cs  0.0000  0.0000  0.0000
Cs  0.5000  0.5000  0.5000
Tl  0.0000  0.0000  0.6181
Tl  0.5000  0.5000  0.1181
Cd  0.0000  0.0000  0.3753
Cd  0.0000  0.5000  0.2511
Cd  0.5000  0.0000  0.7511
Cd  0.5000  0.5000  0.8753
In  0.0000  0.5000  0.7548
In  0.5000  0.0000  0.2548

---

A plane-wave DFT calculation with GGA-PBE was carried out for crystalline TcAg2SbPd at its relaxed geometry.

## Properties
Raw formation energy   1.0795 eV per atom
Calculated total energy   -0.1469 Ha/atom
Total magnetization   2.731 μB/cell
Theoretical density   7.46 Mg/m³
SG   P4/mmm (123)
D(E_F)   5.07 states/eV/f.u.

a b c (Å): 5.0007 5.0007 4.8225
angles (deg): 90.00 90.00 90.00
Atoms (fractional coordinates):
Tc  0.0000  0.0000  0.0000
Ag  0.0000  0.5000  0.5000
Ag  0.5000  0.0000  0.5000
Sb  0.5000  0.5000  0.0000
Pd  0.0000  0.0000  0.5000